[1]
Here is an optimized crystal structure of HoNiSnAu from the Alexandria database. Energies are from PBE.

a = 6.766 Å, b = 6.766 Å, c = 6.766 Å
α = 90.00°, β = 90.00°, γ = 90.00°
Space group F-43m (No. 216)
Unique sites:
Ho1 0.000 0.000 0.000 [4 per cell]
Ni1 0.250 0.250 0.250 [4 per cell]
Sn1 0.000 0.000 0.500 [4 per cell]
Au1 0.250 0.250 0.750 [4 per cell]

Calculated values
The calculation puts the calculated density at 11.6 Mg/m³. For the energy of formation from the pure elements, the calculation gives -2.03 eV per formula unit. Its raw total energy is -0.181 hartree per atom. As for the density of states at the Fermi level: 0.595 states/eV/atom.

=====

[2]
Here is an optimized crystal structure of Pr4PdRuBr2 from the Alexandria database. Energies are from PBE.

a = 7.224 Å, b = 4.179 Å, c = 8.264 Å
α = 90.00°, β = 106.83°, γ = 90.00°
Space group P2/m (No. 10)
Unique sites:
Pr1 0.222 0.000 0.200 [2 per cell]
Pr2 0.255 0.500 0.803 [2 per cell]
Pd1 0.500 0.000 0.000 [1 per cell]
Ru1 0.000 0.500 0.000 [1 per cell]
Br1 0.000 0.000 0.500 [1 per cell]
Br2 0.500 0.500 0.500 [1 per cell]

Calculated values
The formation energy (no corrections) is -0.93 eV/atom. The calculation puts the calculated density at 6.5 Mg/m³. Its raw total energy is -0.204 hartree per atom. As for the density of states at the Fermi level: 0.243 states/eV/atom.

=====

[3]
Here is an optimized crystal structure of Tb2PrYSc4 from the Alexandria database. Energies are from PBE.

a = 4.958 Å, b = 4.958 Å, c = 9.276 Å
α = 90.00°, β = 90.00°, γ = 90.00°
Space group P4/mmm (No. 123)
Unique sites:
Tb1 0.000 0.000 0.000 [1 per cell]
Tb2 0.500 0.500 0.500 [1 per cell]
Pr1 0.000 0.000 0.500 [1 per cell]
Y1 0.500 0.500 0.000 [1 per cell]
Sc1 0.000 0.500 0.248 [4 per cell]

Calculated values
The calculation puts the calculated density at 5.3 Mg/m³. For the energy of formation from the pure elements, the calculation gives 0.45 eV per formula unit. Its raw total energy is -0.208 hartree per atom. As for the density of states at the Fermi level: 1.688 states/eV/atom.

=====

Among the records above, which one has the lowest raw total energy? Tb2PrYSc4